The following is a DFT calculation (PBE) of SbAsS after structural relaxation.

* D(E_F): 1.47 states/eV/f.u.
* symmetry: No. 139
* DFT total energy: -3.965 eV per atom

The structure in POSCAR format:
```
SbAsS
1.0
-3.335 -2.307 -0.862
2.109 -3.425 1.004
-2.742 3.841 10.303
S Sb As
2 2 2
Cartesian
-2.061 0.599 6.372 S
-1.907 -2.489 4.073 S
-1.271 0.370 3.932 Sb
-2.696 -2.260 6.513 Sb
-3.639 -1.986 9.428 As
-0.329 0.096 1.017 As
```